18
Lattice="6.091 -0.222 -0.157 2.815 5.406 -0.157 2.815 1.639 5.154" Properties=species:S:1:pos:R:3 comment="Ac2PaCo3H12 (GGA-PBE, optimized geometry)" spacegroup="R-3m, No. 166" total_energy_ry_per_atom=-0.340 pbc="T T T"
Ac 7.241 4.215 2.989
Ac 4.481 2.608 1.850
Pa 0.000 0.000 0.000
Co 3.045 -0.111 -0.079
Co 1.408 2.703 -0.079
Co 1.408 0.819 2.577
H 4.971 2.893 4.582
H 8.976 5.225 1.869
H 7.469 6.081 4.313
H 7.047 1.714 1.216
H 8.976 3.491 4.313
H 4.971 5.281 1.216
H 6.751 3.929 0.257
H 2.745 1.598 2.970
H 4.253 0.742 0.526
H 4.674 5.109 3.624
H 2.745 3.331 0.526
H 6.751 1.542 3.624